(1)
Entry from Alexandria via LeMat-Bulk: an optimized crystal structure of Cd2MoPPd (PBE).

Lattice parameters (Å, degrees): 5.289 5.289 4.743 90.00 90.00 90.00
Space group P4/mmm (No. 123)
Inequivalent atoms, fractional coordinates:
1 Cd 0.000 0.500 0.000
2 Mo 0.000 0.000 0.000
3 P 0.500 0.500 0.500
4 Pd 0.000 0.000 0.500

Properties
E_form: 710 kJ/mol of formula units
VASP energy: -3.18 eV per atom

---

(2)
Entry from Alexandria via LeMat-Bulk: an optimized crystal structure of TlHgF3 (PBE).

Lattice parameters (Å, degrees): 11.032 11.743 6.298 90.00 91.37 90.00
Space group C2/c (No. 15)
Inequivalent atoms, fractional coordinates:
1 Tl 0.170 0.092 0.162
2 Hg 0.000 0.261 0.750
3 Hg 0.000 0.420 0.250
4 F 0.062 0.127 0.519
5 F 0.103 0.422 0.594
6 F 0.127 0.309 0.057

Properties
ΔE_f (raw): -1.565 eV/atom
VASP energy: -3.22 eV per atom

---

(3)
Entry from Alexandria via LeMat-Bulk: an optimized crystal structure of La2Ag3Pt (PBE).

Lattice parameters (Å, degrees): 3.757 4.864 8.110 90.00 90.00 90.00
Space group Pmm2 (No. 25)
Inequivalent atoms, fractional coordinates:
1 La 0.000 0.000 0.000
2 La 0.000 0.500 0.446
3 Ag 0.500 0.000 0.638
4 Ag 0.500 0.500 0.130
5 Ag 0.500 0.500 0.794
6 Pt 0.500 0.000 0.296

Properties
E_form: -291 kJ/mol of formula units
VASP energy: -4.58 eV per atom

---

(4)
Entry from Alexandria via LeMat-Bulk: an optimized crystal structure of Y2ZrCr (PBE).

Lattice parameters (Å, degrees): 3.649 5.102 10.639 90.00 90.00 90.00
Space group Immm (No. 71)
Inequivalent atoms, fractional coordinates:
1 Y 0.000 0.000 0.216
2 Zr 0.000 0.500 0.000
3 Cr 0.000 0.500 0.500

Properties
E_form: 125 kJ/mol of formula units
VASP energy: -7.45 eV per atom

---

(5)
Entry from Alexandria via LeMat-Bulk: an optimized crystal structure of CaTlSI (PBE).

Lattice parameters (Å, degrees): 4.2795 4.2795 24.9142 90.00 90.00 120.00
Space group R3m (No. 160, hexagonal axes)
Inequivalent atoms, fractional coordinates:
1 Ca 0.0000 0.0000 0.0000
2 Tl 0.0000 0.0000 0.2029
3 S 0.0000 0.0000 0.6118
4 I 0.0000 0.0000 0.4156

Properties
ΔE_f (raw): -1.293 eV/atom
VASP energy: -3.80 eV per atom

---

(6)
Entry from Alexandria via LeMat-Bulk: an optimized crystal structure of PrZnPb (PBE).

Lattice parameters (Å, degrees): 4.327 4.327 9.117 90.00 90.00 90.00
Space group I4mm (No. 107)
Inequivalent atoms, fractional coordinates:
1 Pr 0.000 0.000 0.000
2 Zn 0.000 0.000 0.336
3 Pb 0.000 0.000 0.653

Properties
E_form: -34 kJ/mol of formula units
VASP energy: -3.37 eV per atom